This record from Alexandria via LeMat-Bulk describes a relaxed structure of ErVAgF6. The functional is PBE+U.

Computed properties:
Electronic total energy, eV per atom: -5.820
Crystal system: tetragonal

a b c (Å): 5.2430 5.2430 10.3696
angles (deg): 90.00 90.00 90.00
Space group P4_2nm (No. 102)
Unique sites:
Er  0.0000  0.0000  0.0000 (multiplicity 2)
V  0.0000  0.0000  0.3377 (multiplicity 2)
Ag  0.0000  0.0000  0.6696 (multiplicity 2)
F  0.1750  0.1750  0.1712 (multiplicity 4)
F  0.2085  0.2085  0.4801 (multiplicity 4)
F  0.2150  0.2150  0.8583 (multiplicity 4)